A plane-wave DFT calculation with GGA-PBE was carried out for crystalline TaMoSeN2 at its relaxed geometry.

- Calculated volume: 78 Å³/cell
- DOS at the Fermi energy: 0.96 states/eV/atom
- ΔE_f (raw): 830.1 meV per atom
- Theoretical density: 8.13 g/cm³

a = 3.9052 Å, b = 3.9052 Å, c = 5.1438 Å
α = 90.00°, β = 90.00°, γ = 90.00°
With the nearest neighbours (Å) after each atom.
Element x y z (fractional)
Mo 0.0000 0.0000 0.0000  4 N 1.95
N 0.0000 0.5000 0.0000  2 Mo 1.95
N 0.5000 0.0000 0.0000  2 Mo 1.95
Se 0.0000 0.0000 0.5000  2 Mo 2.57, 4 Ta 2.76
Ta 0.5000 0.5000 0.5000  4 Se 2.76